1.
A plane-wave DFT calculation with PBE was carried out for LiRh3 after structural relaxation.

abc: 2.6727 4.0868 5.0955
angles: 90.00 103.79 90.00
With the nearest neighbours (Å) after each atom.
Fractional positions:
Li 0.0000 0.0000 0.0000  6 Rh 2.48-2.55, 2 Li 2.67
Rh 0.0000 0.0000 0.5000  2 Li 2.55, 10 Rh 2.67-2.76
Rh 0.3845 0.5000 0.2403  2 Li 2.48, 8 Rh 2.57-2.76
Rh 0.6155 0.5000 0.7597  2 Li 2.48, 8 Rh 2.57-2.76

Raw total energy, eV per atom: -6.03
Magnetic moment, μB/cell: 0.00

***

2.
A plane-wave DFT calculation with PBE was carried out for LiMgAlCr after structural relaxation.

abc: 4.5380 4.5380 4.5380
angles: 60.00 60.00 60.00
With the nearest neighbours (Å) after each atom.
Fractional positions:
Li 0.0000 0.0000 0.0000  4 Mg 2.78, 4 Al 2.78
Mg 0.7500 0.7500 0.7500  4 Cr 2.78, 4 Li 2.78
Al 0.2500 0.2500 0.2500  4 Cr 2.78, 4 Li 2.78
Cr 0.5000 0.5000 0.5000  4 Mg 2.78, 4 Al 2.78

Raw total energy, eV per atom: -4.14
Magnetic moment, μB/cell: 3.52